DFT (GGA-PBE) results for crystalline Ba3SrAl at its relaxed geometry.

Cell lengths 6.6816, 6.6816, 6.6816 Å; angles 90.00, 90.00, 90.00 degrees
Fractional positions:
Ba 0.0000 0.5000 0.0000
Sr 0.0000 0.0000 0.0000
Ba 0.5000 0.0000 0.0000
Al 0.5000 0.5000 0.5000
Ba 0.0000 0.0000 0.5000

Properties
density of states at the Fermi level: 9.91 states/eV/cell
ΔH_f (0 K): 86 kJ/mol of atoms
energy above the most stable polymorph in this dataset: 0.762 eV per atom
DFT total energy: -1.35 eV per atom

DFT (GGA-PBE) results for crystalline BaLa2HgN at its relaxed geometry.

Cell lengths 5.0678, 5.0678, 5.7073 Å; angles 90.00, 90.00, 90.00 degrees
Fractional positions:
Hg 0.5000 0.5000 0.5000
N 0.0000 0.0000 0.0000
Ba 0.0000 0.0000 0.5000
La 0.0000 0.5000 0.0000
La 0.5000 0.0000 0.0000

Properties
density of states at the Fermi level: 5.33 states/eV/cell
raw formation energy: -3.0 eV/f.u.
DFT total energy: -4.69 eV per atom

DFT (GGA-PBE) results for crystalline Pu3ZnRh2 at its relaxed geometry.

Cell lengths 11.9731, 6.6038, 7.9939 Å; angles 90.00, 128.56, 90.00 degrees
Last column: magnetic moment on the atom in μB.
Fractional positions:
Rh 0.3863 0.2696 0.8055  0.12
Pu 0.6690 0.0088 0.9071  -5.19
Zn 0.6124 0.8341 0.5129  0.00
Rh 0.3547 0.7651 0.4147  0.03
Rh 0.8547 0.7349 0.9147  0.03
Pu 0.8722 0.6807 0.2813  -5.07
Rh 0.1453 0.2651 0.0853  0.03
Pu 0.3310 0.9912 0.0929  -5.19
Pu 0.1278 0.3193 0.7187  -5.07
Rh 0.6453 0.2349 0.5853  0.03
Pu 0.6278 0.1807 0.2187  -5.07
Rh 0.6137 0.7304 0.1945  0.12
Pu 0.3722 0.8193 0.7813  -5.07
Pu 0.9116 0.0146 0.7028  5.03
Zn 0.1124 0.6659 0.0129  0.00
Rh 0.8863 0.2304 0.3055  0.12
Pu 0.4116 0.4854 0.2028  5.03
Pu 0.5884 0.5146 0.7972  5.03
Pu 0.1690 0.4912 0.4071  -5.19
Pu 0.8310 0.5088 0.5929  -5.19
Pu 0.0884 0.9854 0.2972  5.03
Rh 0.1137 0.7696 0.6945  0.12
Zn 0.3876 0.1659 0.4871  0.00
Zn 0.8876 0.3341 0.9871  0.00

Properties
density of states at the Fermi level: 95.66 states/eV/cell
ΔH_f (0 K): -32 kJ/mol of atoms
energy above the most stable polymorph in this dataset: 0.000 eV per atom
DFT total energy: -10.16 eV per atom

Repeat the second record exactly.
DFT (GGA-PBE) results for crystalline BaLa2HgN at its relaxed geometry.

Cell lengths 5.0678, 5.0678, 5.7073 Å; angles 90.00, 90.00, 90.00 degrees
Fractional positions:
Hg 0.5000 0.5000 0.5000
N 0.0000 0.0000 0.0000
Ba 0.0000 0.0000 0.5000
La 0.0000 0.5000 0.0000
La 0.5000 0.0000 0.0000

Properties
density of states at the Fermi level: 5.33 states/eV/cell
raw formation energy: -3.0 eV/f.u.
DFT total energy: -4.69 eV per atom